No. 1
VASP calculation (SCAN) on a crystal of Tl4Pb3 relaxed with PBEsol.

Cell: 6.3632 6.3632 6.0589 Å, 90.00 90.00 120.00°
Space group P6/mmm (No. 191)
Unique sites:
Tl 0.0000 0.0000 0.2454 [2 per cell]
Tl 0.3333 0.6667 0.0000 [2 per cell]
Pb 0.0000 0.5000 0.5000 [3 per cell]

Summary:
**ΔE_f**: 0.0548 eV per atom
**Density of states at the Fermi level**: 3.62 states/eV/cell

No. 2
VASP calculation (SCAN) on a crystal of K2In2Os relaxed with PBEsol.

Cell: 3.748 3.748 16.454 Å, 90.00 90.00 90.00°
Space group I4/mmm (No. 139)
Unique sites:
K 0.000 0.500 0.250 [4 per cell]
In 0.000 0.000 0.084 [4 per cell]
Os 0.000 0.000 0.500 [2 per cell]

Summary:
**ΔE_f**: 1.0424 eV per atom
**Density of states at the Fermi level**: 2.97 states/eV/cell

No. 3
VASP calculation (SCAN) on a crystal of Ca3MnTc relaxed with PBEsol.

Cell: 5.277 5.277 5.277 Å, 90.00 90.00 90.00°
Space group Pm-3m (No. 221)
Unique sites:
Ca 0.000 0.000 0.500 [3 per cell]
Mn 0.000 0.000 0.000 [1 per cell]
Tc 0.500 0.500 0.500 [1 per cell]

Summary:
**ΔE_f**: 1.0675 eV per atom
**Density of states at the Fermi level**: 3.31 states/eV/cell

No. 4
VASP calculation (SCAN) on a crystal of Os2W relaxed with PBEsol.

Cell: 10.053 2.754 6.525 Å, 90.00 104.40 90.00°
Space group C2/m (No. 12)
Unique sites:
Os 0.030 0.000 0.304 [4 per cell]
Os 0.137 0.500 0.026 [4 per cell]
W 0.189 0.500 0.648 [4 per cell]

Summary:
**ΔE_f**: 0.0079 eV per atom
**Density of states at the Fermi level**: 6.87 states/eV/cell

No. 5
VASP calculation (SCAN) on a crystal of Tl2IrCl relaxed with PBEsol.

Cell: 3.200 3.345 7.977 Å, 90.00 90.16 90.00°
Space group P2/m (No. 10)
Unique sites:
Tl 0.001 0.000 0.211 [2 per cell]
Ir 0.500 0.500 0.000 [1 per cell]
Cl 0.000 0.500 0.500 [1 per cell]

Summary:
**ΔE_f (raw)**: 0.18 eV/atom
**Density of states at the Fermi level**: 1.28 states/eV/cell

No. 6
VASP calculation (SCAN) on a crystal of ZrPtCl2 relaxed with PBEsol.

Cell: 3.088 4.272 5.258 Å, 90.00 90.00 90.00°
Space group Pmmm (No. 47)
Unique sites:
Zr 0.000 0.000 0.000 [1 per cell]
Pt 0.500 0.000 0.500 [1 per cell]
Cl 0.000 0.500 0.500 [1 per cell]
Cl 0.500 0.500 0.000 [1 per cell]

Summary:
**ΔE_f (raw)**: -0.47 eV/atom
**Density of states at the Fermi level**: 1.98 states/eV/cell

No. 7
VASP calculation (SCAN) on a crystal of TcNi2 relaxed with PBEsol.

Cell: 4.5923 4.5923 14.9513 Å, 90.00 90.00 120.00°
Space group P6_3/mmc (No. 194)
Unique sites:
Tc 0.0000 0.0000 0.0947 [4 per cell]
Tc 0.3333 0.6667 0.1571 [4 per cell]
Ni 0.0000 0.5000 0.0000 [6 per cell]
Ni 0.1634 0.3268 0.7500 [6 per cell]
Ni 0.3333 0.6667 0.6250 [4 per cell]

Summary:
**ΔE_f**: 0.0451 eV per atom
**Density of states at the Fermi level**: 23.72 states/eV/cell

No. 8
VASP calculation (SCAN) on a crystal of MnAlCu relaxed with PBEsol.

Cell: 2.739 2.739 9.872 Å, 90.00 90.00 90.00°
Space group I4mm (No. 107)
Unique sites:
Mn 0.000 0.000 0.000 [2 per cell]
Al 0.000 0.000 0.333 [2 per cell]
Cu 0.000 0.000 0.667 [2 per cell]

Summary:
**ΔE_f**: -0.2698 eV per atom
**Density of states at the Fermi level**: 2.92 states/eV/cell

No. 9
VASP calculation (SCAN) on a crystal of CaReTc2 relaxed with PBEsol.

Cell: 4.523 4.523 3.068 Å, 90.00 90.00 90.00°
Space group P4/mmm (No. 123)
Unique sites:
Ca 0.000 0.000 0.000 [1 per cell]
Re 0.500 0.500 0.000 [1 per cell]
Tc 0.000 0.500 0.500 [2 per cell]

Summary:
**ΔE_f**: 0.6038 eV per atom
**Density of states at the Fermi level**: 4.02 states/eV/cell

No. 10
VASP calculation (SCAN) on a crystal of CuSi2P relaxed with PBEsol.

Cell: 3.356 3.356 10.081 Å, 90.00 90.00 90.00°
Space group P4/nmm (No. 129, origin choice 2)
Unique sites:
Cu 0.250 0.750 0.000 [2 per cell]
Si 0.250 0.250 0.189 [2 per cell]
Si 0.250 0.750 0.500 [2 per cell]
P 0.250 0.250 0.729 [2 per cell]

Summary:
**ΔE_f (raw)**: 0.43 eV/atom
**Density of states at the Fermi level**: 1.98 states/eV/cell

No. 11
VASP calculation (SCAN) on a crystal of SrAsP2 relaxed with PBEsol.

Cell: 4.499 4.499 7.969 Å, 90.00 90.00 90.00°
Space group I4/mmm (No. 139)
Unique sites:
Sr 0.000 0.000 0.000 [2 per cell]
As 0.000 0.000 0.500 [2 per cell]
P 0.000 0.500 0.250 [4 per cell]

Summary:
**ΔE_f**: 0.0391 eV per atom
**Density of states at the Fermi level**: 2.18 states/eV/cell

No. 12
VASP calculation (SCAN) on a crystal of Zr2AlAsOs relaxed with PBEsol.

Cell: 5.046 5.046 4.557 Å, 90.00 90.00 90.00°
Space group P4/mmm (No. 123)
Unique sites:
Zr 0.000 0.500 0.000 [2 per cell]
Al 0.000 0.000 0.500 [1 per cell]
As 0.500 0.500 0.500 [1 per cell]
Os 0.500 0.500 0.000 [1 per cell]

Summary:
**ΔE_f**: 0.2527 eV per atom
**Density of states at the Fermi level**: 3.90 states/eV/cell

Q: Which of these has the highest density of states at the Fermi level?
A: TcNi2